[1]
The following is a DFT calculation (PBE) of a relaxed structure of CsCo2SnI.

Space group: P4/mmm
Spin magnetization (μB/atom): 0.5797
Formation energy (no corrections) (eV/atom): 1.741
Electronic total energy (eV for the cell shown): -11.91
Density of states at the Fermi level (states/eV per cell): 7.2

a = 4.986 Å, b = 4.986 Å, c = 6.790 Å
α = 90.00°, β = 90.00°, γ = 90.00°
Sites, in units of the cell vectors:
Cs 0.000 0.000 0.000
Co 0.000 0.500 0.000
Co 0.500 0.000 0.000
Sn 0.500 0.500 0.500
I 0.000 0.000 0.500



[2]
The following is a DFT calculation (PBE) of a relaxed structure of AlSnIr3.

Distance to the lowest polymorph of the same formula (eV per formula unit): 0.00
Space group: Pm-3m
Spin magnetization (μB/atom): 0.0000
DFT formation energy (meV per atom): 751
Electronic total energy (eV for the cell shown): -30.57
Density of states at the Fermi level (states/eV per cell): 1.9

a = 4.503 Å, b = 4.503 Å, c = 4.503 Å
α = 90.00°, β = 90.00°, γ = 90.00°
Sites, in units of the cell vectors:
Al 0.000 0.000 0.000
Sn 0.500 0.500 0.500
Ir 0.000 0.000 0.500
Ir 0.000 0.500 0.000
Ir 0.500 0.000 0.000



[3]
The following is a DFT calculation (PBE) of a relaxed structure of BaSiPt2.

Space group: Cmmm
Spin magnetization (μB/atom): 0.0000
Formation energy (no corrections) (eV/atom): 0.059
Electronic total energy (eV for the cell shown): -19.19
Density of states at the Fermi level (states/eV per cell): 2.3

a = 4.779 Å, b = 4.779 Å, c = 3.831 Å
α = 90.00°, β = 90.00°, γ = 99.07°
Sites, in units of the cell vectors:
Ba 0.000 0.000 0.000
Si 0.500 0.500 0.000
Pt 0.000 0.500 0.500
Pt 0.500 0.000 0.500



[4]
The following is a DFT calculation (PBE) of a relaxed structure of YMn2SbTe.

Space group: P4/mmm
Spin magnetization (μB/atom): 0.1502
Formation energy (no corrections) (eV/atom): 0.956
Electronic total energy (eV for the cell shown): -27.29
Density of states at the Fermi level (states/eV per cell): 9.5

a = 4.646 Å, b = 4.646 Å, c = 6.005 Å
α = 90.00°, β = 90.00°, γ = 90.00°
Sites, in units of the cell vectors:
Y 0.000 0.000 0.000
Mn 0.000 0.500 0.500
Mn 0.500 0.000 0.500
Sb 0.500 0.500 0.000
Te 0.500 0.500 0.500